Here is a geometry-optimized Bi4Pd15Rh structure from Alexandria via LeMat-Bulk. Energies are from PBE-GGA.

Computed properties:
- ΔE_f (meV/atom) = -169

Cell lengths 4.098, 4.098, 20.445 Å; angles 90.00, 90.00, 90.00 degrees
Space group P4/mmm (No. 123)
Inequivalent atoms, fractional coordinates:
Bi 0.000 0.000 0.104 x2
Bi 0.000 0.000 0.312 x2
Pd 0.000 0.500 0.000 x2
Pd 0.000 0.500 0.203 x4
Pd 0.000 0.500 0.408 x4
Pd 0.500 0.500 0.100 x2
Pd 0.500 0.500 0.302 x2
Pd 0.500 0.500 0.500 x1
Rh 0.000 0.000 0.500 x1

---

Here is a geometry-optimized LaTi2O structure from Alexandria via LeMat-Bulk. Energies are from PBE-GGA.

Computed properties:
- ΔE_f (raw) (kJ/mol of atoms) = -99.6

Cell lengths 6.290, 6.290, 8.904 Å; angles 90.00, 90.00, 90.00 degrees
Space group I-42d (No. 122)
Inequivalent atoms, fractional coordinates:
La 0.000 0.000 0.000 x4
Ti 0.003 0.250 0.625 x8
O 0.000 0.000 0.500 x4

---

Here is a geometry-optimized Tl2HgI2 structure from Alexandria via LeMat-Bulk. Energies are from PBE-GGA.

Computed properties:
- ΔE_f (raw) (kJ/mol of atoms) = -43.2
- energy above the most stable polymorph in this dataset (meV/atom) = 41

Cell lengths 9.896, 9.896, 4.313 Å; angles 90.00, 90.00, 90.00 degrees
Space group P4/mbm (No. 127)
Inequivalent atoms, fractional coordinates:
Tl 0.145 0.355 0.000 x4
Hg 0.000 0.000 0.500 x2
I 0.147 0.647 0.500 x4

---

Here is a geometry-optimized Zr3CrHg structure from Alexandria via LeMat-Bulk. Energies are from PBE-GGA.

Computed properties:
- energy above the most stable polymorph in this dataset (meV/atom) = 0
- ΔE_f (meV/atom) = 445

Cell lengths 4.840, 4.840, 4.840 Å; angles 90.00, 90.00, 90.00 degrees
Space group Pm-3m (No. 221)
Inequivalent atoms, fractional coordinates:
Zr 0.000 0.000 0.500 x3
Cr 0.000 0.000 0.000 x1
Hg 0.500 0.500 0.500 x1

---

Here is a geometry-optimized CaAgP2 structure from Alexandria via LeMat-Bulk. Energies are from PBE-GGA.

Computed properties:
- ΔE_f (meV/atom) = -146

Cell lengths 4.1074, 4.1074, 16.7568 Å; angles 90.00, 90.00, 120.00 degrees
Space group R-3m (No. 166, hexagonal axes)
Inequivalent atoms, fractional coordinates:
Ca 0.0000 0.0000 0.0000 x3
Ag 0.0000 0.0000 0.5000 x3
P 0.0000 0.0000 0.2341 x6

---

Here is a geometry-optimized Ca3GeW structure from Alexandria via LeMat-Bulk. Energies are from PBE-GGA.

Computed properties:
- energy above the most stable polymorph in this dataset (meV/atom) = 0
- ΔE_f (meV/atom) = 887

Cell lengths 5.624, 5.624, 5.624 Å; angles 90.00, 90.00, 90.00 degrees
Space group Pm-3m (No. 221)
Inequivalent atoms, fractional coordinates:
Ca 0.000 0.000 0.500 x3
Ge 0.000 0.000 0.000 x1
W 0.500 0.500 0.500 x1

---

Here is a geometry-optimized La7In2Pt2 structure from Alexandria via LeMat-Bulk. Energies are from PBE-GGA.

Computed properties:
- energy above the most stable polymorph in this dataset (meV/atom) = 0
- ΔE_f (meV/atom) = -605

Cell lengths 3.913, 16.719, 10.821 Å; angles 90.00, 90.00, 90.00 degrees
Space group Imm2 (No. 44)
Inequivalent atoms, fractional coordinates:
La 0.000 0.000 0.000 x2
La 0.000 0.124 0.431 x4
La 0.000 0.315 0.630 x4
La 0.000 0.352 0.281 x4
In 0.000 0.000 0.678 x2
In 0.000 0.500 0.753 x2
Pt 0.000 0.238 0.938 x4

---

Here is a geometry-optimized TmUB4 structure from Alexandria via LeMat-Bulk. Energies are from PBE-GGA.

Computed properties:
- energy above the most stable polymorph in this dataset (meV/atom) = 0
- ΔE_f (meV/atom) = -374

Cell lengths 3.544, 3.544, 11.325 Å; angles 90.00, 90.00, 90.00 degrees
Space group I-4m2 (No. 119)
Inequivalent atoms, fractional coordinates:
Tm 0.000 0.000 0.000 x2
U 0.000 0.500 0.250 x2
B 0.000 0.000 0.419 x4
B 0.000 0.500 0.671 x4

---

Here is a geometry-optimized IrPtRh structure from Alexandria via LeMat-Bulk. Energies are from PBE-GGA.

Computed properties:
- energy above the most stable polymorph in this dataset (meV/atom) = 305
- ΔE_f (meV/atom) = 273

Cell lengths 4.4172, 4.4172, 2.6866 Å; angles 90.00, 90.00, 120.00 degrees
Space group P-6m2 (No. 187)
Inequivalent atoms, fractional coordinates:
Ir 0.0000 0.0000 0.0000 x1
Pt 0.6667 0.3333 0.5000 x1
Rh 0.3333 0.6667 0.5000 x1

---

Here is a geometry-optimized Ce5CdOs3 structure from Alexandria via LeMat-Bulk. Energies are from PBE-GGA.

Computed properties:
- ΔE_f (meV/atom) = -104

Cell lengths 12.067, 11.108, 6.346 Å; angles 90.00, 90.00, 90.00 degrees
Space group Cmcm (No. 63)
Inequivalent atoms, fractional coordinates:
Ce 0.000 0.236 0.250 x4
Ce 0.160 0.000 0.000 x8
Ce 0.168 0.301 0.750 x8
Cd 0.000 0.500 0.000 x4
Os 0.000 0.135 0.750 x4
Os 0.176 0.387 0.250 x8

---

Here is a geometry-optimized V3CrW4 structure from Alexandria via LeMat-Bulk. Energies are from PBE-GGA.

Computed properties:
- energy above the most stable polymorph in this dataset (meV/atom) = 0
- ΔE_f (meV/atom) = -67

Cell lengths 3.069, 3.069, 12.294 Å; angles 90.00, 90.00, 90.00 degrees
Space group P4/mmm (No. 123)
Inequivalent atoms, fractional coordinates:
V 0.000 0.000 0.000 x1
V 0.000 0.000 0.252 x2
Cr 0.000 0.000 0.500 x1
W 0.500 0.500 0.126 x2
W 0.500 0.500 0.378 x2

---

Here is a geometry-optimized Li15Ca6Tl8 structure from Alexandria via LeMat-Bulk. Energies are from PBE-GGA.

Computed properties:
- ΔE_f (meV/atom) = -220

Cell lengths 14.002, 14.002, 14.002 Å; angles 90.00, 90.00, 90.00 degrees
Space group Fm-3m (No. 225)
Inequivalent atoms, fractional coordinates:
Li 0.000 0.000 0.000 x4
Li 0.000 0.250 0.250 x24
Li 0.174 0.174 0.326 x32
Ca 0.000 0.000 0.288 x24
Tl 0.126 0.126 0.126 x32